[1]
# Mg2PaRh (PBE-GGA, optimized geometry)
data_Mg2PaRh
_chemical_formula_sum 'Mg6 Pa3 Rh3'
_symmetry_space_group_name_H-M 'R -3 m'
_symmetry_Int_Tables_number 166
_symmetry_space_group_name_Hall '-R 3 2"'
_cell_length_a 3.0496
_cell_length_b 3.0496
_cell_length_c 29.6815
_cell_angle_alpha 90.00
_cell_angle_beta 90.00
_cell_angle_gamma 120.00
loop_
_atom_site_label
_atom_site_type_symbol
_atom_site_fract_x
_atom_site_fract_y
_atom_site_fract_z
Mg1 Mg 0.0000 0.0000 0.2346
Pa1 Pa 0.0000 0.0000 0.0000
Rh1 Rh 0.0000 0.0000 0.5000
# volume = 239 Å³ per cell
# DFT total energy = -5.08 eV per atom

[2]
# MgPaSi2Rh5 (PBE-GGA, optimized geometry)
data_MgPaSi2Rh5
_chemical_formula_sum 'Mg1 Pa1 Si2 Rh5'
_symmetry_space_group_name_H-M 'P 4/m m m'
_symmetry_Int_Tables_number 123
_symmetry_space_group_name_Hall '-P 4 2'
_cell_length_a 4.091
_cell_length_b 4.091
_cell_length_c 8.506
_cell_angle_alpha 90.00
_cell_angle_beta 90.00
_cell_angle_gamma 90.00
loop_
_atom_site_label
_atom_site_type_symbol
_atom_site_fract_x
_atom_site_fract_y
_atom_site_fract_z
Mg1 Mg 0.000 0.000 0.000
Pa1 Pa 0.000 0.000 0.500
Si1 Si 0.500 0.500 0.360
Rh1 Rh 0.000 0.500 0.226
Rh2 Rh 0.500 0.500 0.000
# volume = 142 Å³ per cell
# DFT total energy = -7.25 eV per atom
# formation energy from raw total energies = -732 meV per atom

[3]
# MgPa2Si3Rh4 (PBE-GGA, optimized geometry)
data_MgPa2Si3Rh4
_chemical_formula_sum 'Mg1 Pa2 Si3 Rh4'
_symmetry_space_group_name_H-M 'P -4 m 2'
_symmetry_Int_Tables_number 115
_symmetry_space_group_name_Hall 'P -4 -2'
_cell_length_a 4.030
_cell_length_b 4.030
_cell_length_c 10.539
_cell_angle_alpha 90.00
_cell_angle_beta 90.00
_cell_angle_gamma 90.00
loop_
_atom_site_label
_atom_site_type_symbol
_atom_site_fract_x
_atom_site_fract_y
_atom_site_fract_z
Mg1 Mg 0.000 0.000 0.000
Pa1 Pa 0.000 0.500 0.745
Si1 Si 0.000 0.500 0.374
Si2 Si 0.500 0.500 0.000
Rh1 Rh 0.000 0.000 0.500
Rh2 Rh 0.000 0.500 0.151
Rh3 Rh 0.500 0.500 0.500
# volume = 171 Å³ per cell
# DFT total energy = -7.49 eV per atom
# formation energy from raw total energies = -863 meV per atom

[4]
# MgPa2ZnRh4 (PBE-GGA, optimized geometry)
data_MgPa2ZnRh4
_chemical_formula_sum 'Mg3 Pa6 Zn3 Rh12'
_symmetry_space_group_name_H-M 'R -3 m'
_symmetry_Int_Tables_number 166
_symmetry_space_group_name_Hall '-R 3 2"'
_cell_length_a 4.6766
_cell_length_b 4.6766
_cell_length_c 22.9004
_cell_angle_alpha 90.00
_cell_angle_beta 90.00
_cell_angle_gamma 120.00
loop_
_atom_site_label
_atom_site_type_symbol
_atom_site_fract_x
_atom_site_fract_y
_atom_site_fract_z
Mg1 Mg 0.0000 0.0000 0.0000
Pa1 Pa 0.0000 0.0000 0.2472
Zn1 Zn 0.0000 0.0000 0.5000
Rh1 Rh 0.0000 0.0000 0.1222
Rh2 Rh 0.0000 0.0000 0.3756
# volume = 434 Å³ per cell
# DFT total energy = -7.05 eV per atom

Among the records above, which one has the highest DFT total energy?
Mg2PaRh